## a
Density functional theory data (GGA-PBE) for a geometry-optimized CdPd2Cl2 structure.

The structure in POSCAR format:
```
CdPd2Cl2
1.0
7.0467 0.0000 0.0000
0.0000 7.0467 0.0000
0.0000 0.0000 4.5756
Cd Pd Cl
2 4 4
direct
0.0000 0.0000 0.0000 Cd
0.5000 0.5000 0.0000 Cd
0.1378 0.3622 0.0000 Pd
0.3622 0.8622 0.0000 Pd
0.6378 0.1378 0.0000 Pd
0.8622 0.6378 0.0000 Pd
0.1900 0.3100 0.5000 Cl
0.3100 0.8100 0.5000 Cl
0.6900 0.1900 0.5000 Cl
0.8100 0.6900 0.5000 Cl
```

Results
The spin magnetization is 0.00 μB/f.u.

## b
Density functional theory data (GGA-PBE) for a geometry-optimized CdPd2Cl2 structure.

The structure in POSCAR format:
```
CdPd2Cl2
1.0
-2.1061 2.1061 5.7786
2.1061 -2.1061 5.7786
2.1061 2.1061 -5.7786
Cd Pd Cl
1 2 2
direct
0.0000 0.0000 0.0000 Cd
0.3863 0.3863 0.0000 Pd
0.6137 0.6137 0.0000 Pd
0.2500 0.7500 0.5000 Cl
0.7500 0.2500 0.5000 Cl
```

Results
The spin magnetization is 1.52 μB/f.u.

Bottom line: a, by a margin of 0.380 eV/atom.

## a
Density functional theory data (GGA-PBE) for a geometry-optimized CdPdCl3 structure.

The structure in POSCAR format:
```
CdPdCl3
1.0
4.8999 0.0000 0.0000
0.0000 4.8999 0.0000
0.0000 0.0000 4.8999
Cd Pd Cl
1 1 3
direct
0.0000 0.0000 0.0000 Cd
0.5000 0.5000 0.5000 Pd
0.0000 0.5000 0.5000 Cl
0.5000 0.0000 0.5000 Cl
0.5000 0.5000 0.0000 Cl
```

Results
The spin magnetization is 0.00 μB/f.u.

## b
Density functional theory data (GGA-PBE) for a geometry-optimized CdPdCl3 structure.

The structure in POSCAR format:
```
CdPdCl3
1.0
5.1530 0.0000 0.0000
0.0000 5.1530 0.0000
0.0000 0.0000 5.1530
Cd Pd Cl
1 1 3
direct
0.0000 0.0000 0.0000 Cd
0.5000 0.5000 0.5000 Pd
0.0000 0.0000 0.5000 Cl
0.0000 0.5000 0.0000 Cl
0.5000 0.0000 0.0000 Cl
```

Results
The spin magnetization is 1.00 μB/f.u.

Bottom line: a, by a margin of 0.198 eV/atom.

## a
Density functional theory data (GGA-PBE) for a geometry-optimized CdPd2Cl structure.

The structure in POSCAR format:
```
CdPd2Cl
1.0
0.0000 3.2848 3.2848
3.2848 0.0000 3.2848
3.2848 3.2848 0.0000
Cd Pd Cl
1 2 1
direct
0.0000 0.0000 0.0000 Cd
0.2500 0.2500 0.2500 Pd
0.7500 0.7500 0.7500 Pd
0.5000 0.5000 0.5000 Cl
```

Results
The spin magnetization is 0.00 μB/f.u.

## b
Density functional theory data (GGA-PBE) for a geometry-optimized CdPd2Cl structure.

The structure in POSCAR format:
```
CdPd2Cl
1.0
-2.0230 2.0230 9.4025
2.0230 -2.0230 9.4025
2.0230 2.0230 -9.4025
Cd Pd Cl
2 4 2
direct
0.0000 0.0000 0.0000 Cd
0.7500 0.2500 0.5000 Cd
0.1302 0.6250 0.0052 Pd
0.3750 0.3802 0.5052 Pd
0.6198 0.1250 0.9948 Pd
0.8750 0.8698 0.4948 Pd
0.2500 0.7500 0.5000 Cl
0.5000 0.5000 0.0000 Cl
```

Results
The spin magnetization is 0.00 μB/f.u.

Bottom line: a, by a margin of 0.030 eV/atom.

## a
Density functional theory data (GGA-PBE) for a geometry-optimized Cd2PdCl structure.

The structure in POSCAR format:
```
Cd2PdCl
1.0
0.0000 3.4646 3.4646
3.4646 0.0000 3.4646
3.4646 3.4646 0.0000
Cd Pd Cl
2 1 1
direct
0.2500 0.2500 0.2500 Cd
0.7500 0.7500 0.7500 Cd
0.0000 0.0000 0.0000 Pd
0.5000 0.5000 0.5000 Cl
```

Results
The spin magnetization is 0.00 μB/f.u.

## b
Density functional theory data (GGA-PBE) for a geometry-optimized Cd2PdCl structure.

The structure in POSCAR format:
```
Cd2PdCl
1.0
-3.6956 3.6956 3.3187
3.6956 -3.6956 3.3187
3.6956 3.6956 -3.3187
Cd Pd Cl
4 2 2
direct
0.1191 0.6250 0.9941 Cd
0.3750 0.3691 0.4941 Cd
0.6309 0.1250 0.0059 Cd
0.8750 0.8809 0.5059 Cd
0.0000 0.0000 0.0000 Pd
0.7500 0.2500 0.5000 Pd
0.2500 0.7500 0.5000 Cl
0.5000 0.5000 0.0000 Cl
```

Results
The spin magnetization is 0.00 μB/f.u.

Bottom line: b, by a margin of 0.172 eV/atom.

## a
Density functional theory data (GGA-PBE) for a geometry-optimized CdPdCl2 structure.

The structure in POSCAR format:
```
CdPdCl2
1.0
1.9083 1.1018 7.8559
-1.9083 1.1018 7.8559
0.0000 -2.2035 7.8559
Cd Pd Cl
1 1 2
direct
0.0000 0.0000 0.0000 Cd
0.5000 0.5000 0.5000 Pd
0.4010 0.4010 0.4010 Cl
0.5990 0.5990 0.5990 Cl
```

Results
The spin magnetization is 0.13 μB/f.u.

## b
Density functional theory data (GGA-PBE) for a geometry-optimized CdPdCl2 structure.

The structure in POSCAR format:
```
CdPdCl2
1.0
-3.5760 3.5760 3.2769
3.5760 -3.5760 3.2769
3.5760 3.5760 -3.2769
Cd Pd Cl
2 2 4
direct
0.0000 0.0000 0.0000 Cd
0.7500 0.2500 0.5000 Cd
0.2500 0.7500 0.5000 Pd
0.5000 0.5000 0.0000 Pd
0.1380 0.6250 0.0130 Cl
0.3750 0.3880 0.5130 Cl
0.6120 0.1250 0.9870 Cl
0.8750 0.8620 0.4870 Cl
```

Results
The spin magnetization is 0.04 μB/f.u.

Bottom line: a, by a margin of 0.056 eV/atom.

## a
Density functional theory data (GGA-PBE) for a geometry-optimized Cd2PtCl structure.

The structure in POSCAR format:
```
Cd2PtCl
1.0
1.7264 0.9968 8.1939
-1.7264 0.9968 8.1939
0.0000 -1.9935 8.1939
Cd Pt Cl
2 1 1
direct
0.2449 0.2449 0.2449 Cd
0.7551 0.7551 0.7551 Cd
0.5000 0.5000 0.5000 Pt
0.0000 0.0000 0.0000 Cl
```

Results
The spin magnetization is 0.00 μB/f.u.

## b
Density functional theory data (GGA-PBE) for a geometry-optimized Cd2PtCl structure.

The structure in POSCAR format:
```
Cd2PtCl
1.0
3.1640 0.0000 0.0000
0.0000 3.3861 0.0000
0.0000 0.0000 7.8978
Cd Pt Cl
2 1 1
direct
0.0000 0.0000 0.2115 Cd
0.0000 0.0000 0.7885 Cd
0.5000 0.5000 0.0000 Pt
0.5000 0.0000 0.5000 Cl
```

Results
The spin magnetization is 0.00 μB/f.u.

## c
Density functional theory data (GGA-PBE) for a geometry-optimized Cd2PtCl structure.

The structure in POSCAR format:
```
Cd2PtCl
1.0
-3.6143 3.6143 3.6023
3.6143 -3.6143 3.6023
3.6143 3.6143 -3.6023
Cd Pt Cl
4 2 2
direct
0.1197 0.1250 0.4947 Cd
0.3750 0.8803 0.0053 Cd
0.6303 0.6250 0.5053 Cd
0.8750 0.3697 0.9947 Cd
0.0000 0.0000 0.0000 Pt
0.7500 0.2500 0.5000 Pt
0.2500 0.7500 0.5000 Cl
0.5000 0.5000 0.0000 Cl
```

Results
The spin magnetization is 0.00 μB/f.u.

Bottom line: b, by a margin of 0.129 eV/atom.

## a
Density functional theory data (GGA-PBE) for a geometry-optimized Cd2PtCl structure.

The structure in POSCAR format:
```
Cd2PtCl
1.0
-1.9521 1.9521 5.5159
1.9521 -1.9521 5.5159
1.9521 1.9521 -5.5159
Cd Pt Cl
2 1 1
direct
0.0000 0.0000 0.0000 Cd
0.7500 0.2500 0.5000 Cd
0.5000 0.5000 0.0000 Pt
0.2500 0.7500 0.5000 Cl
```

Results
The spin magnetization is 0.00 μB/f.u.

## b
Density functional theory data (GGA-PBE) for a geometry-optimized Cd2PtCl structure.

The structure in POSCAR format:
```
Cd2PtCl
1.0
7.9135 -1.6185 0.0000
7.9135 1.6185 0.0000
-0.1043 0.0000 3.4225
Cd Pt Cl
2 1 1
direct
0.0000 0.0000 0.0000 Cd
0.2035 0.2035 0.0299 Cd
0.6037 0.6037 0.5100 Pt
0.3649 0.3649 0.9059 Cl
```

Results
The spin magnetization is 0.00 μB/f.u.

## c
Density functional theory data (GGA-PBE) for a geometry-optimized Cd2PtCl structure.

The structure in POSCAR format:
```
Cd2PtCl
1.0
1.6343 0.9436 8.9049
-1.6343 0.9436 8.9049
0.0000 -1.8871 8.9049
Cd Pt Cl
2 1 1
direct
0.0000 0.0000 0.0000 Cd
0.2428 0.2428 0.2428 Cd
0.5013 0.5013 0.5013 Pt
0.7388 0.7388 0.7388 Cl
```

Results
The spin magnetization is 0.00 μB/f.u.

## d
Density functional theory data (GGA-PBE) for a geometry-optimized Cd2PtCl structure.

The structure in POSCAR format:
```
Cd2PtCl
1.0
0.0000 3.4317 3.4317
3.4317 0.0000 3.4317
3.4317 3.4317 0.0000
Cd Pt Cl
2 1 1
direct
0.2500 0.2500 0.2500 Cd
0.7500 0.7500 0.7500 Cd
0.0000 0.0000 0.0000 Pt
0.5000 0.5000 0.5000 Cl
```

Results
The spin magnetization is 0.00 μB/f.u.

Bottom line: b, by a margin of 0.360 eV/atom.

## a
Density functional theory data (GGA-PBE) for a geometry-optimized Cd2PtCl structure.

The structure in POSCAR format:
```
Cd2PtCl
1.0
0.0000 3.4361 3.4361
3.4361 0.0000 3.4361
3.4361 3.4361 0.0000
Cd Pt Cl
2 1 1
direct
0.0000 0.0000 0.0000 Cd
0.2500 0.2500 0.2500 Cd
0.5000 0.5000 0.5000 Pt
0.7500 0.7500 0.7500 Cl
```

Results
The spin magnetization is 0.00 μB/f.u.

## b
Density functional theory data (GGA-PBE) for a geometry-optimized Cd2PtCl structure.

The structure in POSCAR format:
```
Cd2PtCl
1.0
-1.5989 1.8522 7.8723
1.5989 -1.8522 7.8723
1.5989 1.8522 -7.8723
Cd Pt Cl
2 1 1
direct
0.0000 0.0000 0.0000 Cd
0.7206 0.2206 0.5000 Cd
0.5792 0.5792 0.0000 Pt
0.3181 0.8181 0.5000 Cl
```

Results
The spin magnetization is 0.00 μB/f.u.

Bottom line: b, by a margin of 0.512 eV/atom.

## a
Density functional theory data (GGA-PBE) for a geometry-optimized CdPtCl3 structure.

The structure in POSCAR format:
```
CdPtCl3
1.0
5.1235 0.0000 0.0000
0.0000 5.1235 0.0000
0.0000 0.0000 5.1235
Cd Pt Cl
1 1 3
direct
0.0000 0.0000 0.0000 Cd
0.5000 0.5000 0.5000 Pt
0.0000 0.0000 0.5000 Cl
0.0000 0.5000 0.0000 Cl
0.5000 0.0000 0.0000 Cl
```

Results
The spin magnetization is 1.00 μB/f.u.

## b
Density functional theory data (GGA-PBE) for a geometry-optimized CdPtCl3 structure.

The structure in POSCAR format:
```
CdPtCl3
1.0
4.9154 0.0000 0.0000
0.0000 4.9154 0.0000
0.0000 0.0000 4.9154
Cd Pt Cl
1 1 3
direct
0.0000 0.0000 0.0000 Cd
0.5000 0.5000 0.5000 Pt
0.0000 0.5000 0.5000 Cl
0.5000 0.0000 0.5000 Cl
0.5000 0.5000 0.0000 Cl
```

Results
The spin magnetization is 0.00 μB/f.u.

Bottom line: b, by a margin of 0.453 eV/atom.

## a
Density functional theory data (GGA-PBE) for a geometry-optimized CdPtSCl2 structure.

The structure in POSCAR format:
```
CdPtSCl2
1.0
4.9552 0.0000 0.0000
0.0000 4.9552 0.0000
0.0000 0.0000 5.3094
Cd Pt S Cl
1 1 1 2
direct
0.0000 0.0000 0.0000 Cd
0.5000 0.5000 0.5000 Pt
0.0000 0.0000 0.5000 S
0.0000 0.5000 0.0000 Cl
0.5000 0.0000 0.0000 Cl
```

Results
The spin magnetization is 1.72 μB/f.u.

## b
Density functional theory data (GGA-PBE) for a geometry-optimized CdPtSCl2 structure.

The structure in POSCAR format:
```
CdPtSCl2
1.0
4.8764 0.0000 0.0000
0.0000 4.8764 0.0000
0.0000 0.0000 4.7865
Cd Pt S Cl
1 1 1 2
direct
0.0000 0.0000 0.0000 Cd
0.5000 0.5000 0.5000 Pt
0.5000 0.5000 0.0000 S
0.0000 0.5000 0.5000 Cl
0.5000 0.0000 0.5000 Cl
```

Results
The spin magnetization is 0.00 μB/f.u.

Bottom line: b, by a margin of 0.670 eV/atom.

## a
Density functional theory data (GGA-PBE) for a geometry-optimized CdPtS2Cl structure.

The structure in POSCAR format:
```
CdPtS2Cl
1.0
4.9974 0.0000 0.0000
0.0000 4.9974 0.0000
0.0000 0.0000 4.9778
Cd Pt S Cl
1 1 2 1
direct
0.0000 0.0000 0.0000 Cd
0.5000 0.5000 0.5000 Pt
0.0000 0.5000 0.0000 S
0.5000 0.0000 0.0000 S
0.0000 0.0000 0.5000 Cl
```

Results
The spin magnetization is 2.17 μB/f.u.

## b
Density functional theory data (GGA-PBE) for a geometry-optimized CdPtS2Cl structure.

The structure in POSCAR format:
```
CdPtS2Cl
1.0
4.7577 0.0000 0.0000
0.0000 4.7577 0.0000
0.0000 0.0000 4.8741
Cd Pt S Cl
1 1 2 1
direct
0.0000 0.0000 0.0000 Cd
0.5000 0.5000 0.5000 Pt
0.0000 0.5000 0.5000 S
0.5000 0.0000 0.5000 S
0.5000 0.5000 0.0000 Cl
```

Results
The spin magnetization is 0.00 μB/f.u.

Bottom line: b, by a margin of 0.825 eV/atom.

## a
Density functional theory data (GGA-PBE) for a geometry-optimized RbCdCl2 structure.

The structure in POSCAR format:
```
RbCdCl2
1.0
2.3202 1.3396 8.9295
-2.3202 1.3396 8.9295
0.0000 -2.6791 8.9295
Rb Cd Cl
1 1 2
direct
0.0000 0.0000 0.0000 Rb
0.5000 0.5000 0.5000 Cd
0.4033 0.4033 0.4033 Cl
0.5967 0.5967 0.5967 Cl
```

Results
The spin magnetization is 0.00 μB/f.u.

## b
Density functional theory data (GGA-PBE) for a geometry-optimized RbCdCl2 structure.

The structure in POSCAR format:
```
RbCdCl2
1.0
0.0000 3.8497 3.8497
3.8497 0.0000 3.8497
3.8497 3.8497 0.0000
Rb Cd Cl
1 1 2
direct
0.0000 0.0000 0.0000 Rb
0.5000 0.5000 0.5000 Cd
0.2500 0.2500 0.2500 Cl
0.7500 0.7500 0.7500 Cl
```

Results
The spin magnetization is 0.69 μB/f.u.

## c
Density functional theory data (GGA-PBE) for a geometry-optimized RbCdCl2 structure.

The structure in POSCAR format:
```
RbCdCl2
1.0
2.2293 1.2871 8.9396
-2.2293 1.2871 8.9396
0.0000 -2.5741 8.9396
Rb Cd Cl
1 1 2
direct
0.0000 0.0000 0.0000 Rb
0.5000 0.5000 0.5000 Cd
0.1168 0.1168 0.1168 Cl
0.8832 0.8832 0.8832 Cl
```

Results
The spin magnetization is 0.00 μB/f.u.

Bottom line: a, by a margin of 0.045 eV/atom.